HfB4 PBE relaxed; mass density = 7.9 g cm⁻³; DOS(E_F) = 1.6 states/eV/f.u.; E above lowest polymorph = 0.00 eV per formula unit; total magnetization = 0.0 μB per cell; energy = -7.617 eV per atom; calculated formation energy = -0.28 eV/atom
1.0
-3.4005 1.8274 0.6192
-1.8268 -1.1867 -6.5299
-2.8641 -5.9687 1.8860
Hf B
4 16
Direct
0.0000 0.6709 0.8291
0.0000 0.3291 0.1709
0.0000 0.1709 0.6709
0.0000 0.8291 0.3291
0.8002 0.0000 0.0000
0.5000 0.1798 0.9627
0.5000 0.9142 0.5858
0.5000 0.3202 0.4627
0.1998 0.5000 0.5000
0.5000 0.6798 0.5373
0.5000 0.4627 0.6798
0.5000 0.5373 0.3202
0.5000 0.4142 0.9142
0.5000 0.5858 0.0858
0.5000 0.0858 0.4142
0.5000 0.8202 0.0373
0.5000 0.0373 0.1798
0.1998 0.0000 0.0000
0.8002 0.5000 0.5000
0.5000 0.9627 0.8202

---

Lu2ScTi PBE relaxed; mass density = 7.4 g cm⁻³; DOS(E_F) = 6.8 states/eV/f.u.; E above lowest polymorph = 0.09 eV per formula unit; total magnetization = 1.0 μB per cell; energy = -5.651 eV per atom; calculated formation energy = 0.17 eV/atom
1.0
4.5635 0.0000 0.0000
0.0000 4.6543 0.0000
0.0000 0.0000 4.6543
Ti Sc Lu
1 1 2
Direct
0.5000 0.0000 0.0000
0.5000 0.5000 0.5000
0.0000 0.5000 0.0000
0.0000 0.0000 0.5000

---

NpBeAsSe PBE relaxed; mass density = 8.9 g cm⁻³; DOS(E_F) = 8.8 states/eV/f.u.; ΔE_f (raw) = -1.72 eV/f.u.; total magnetization = 8.3 μB per cell; energy = -6.631 eV per atom
1.0
-0.5252 -3.5689 -2.1032
2.8884 1.2043 -2.7647
6.0871 -3.6949 4.7499
As Se Be Np
2 2 2 2
Direct
0.0000 0.5000 0.8670
0.5000 0.0000 0.1330
0.5000 0.5000 0.5000
0.0000 0.0000 0.5000
0.5000 0.5000 0.0000
0.0000 0.0000 0.0000
0.5000 0.0000 0.7407
0.0000 0.5000 0.2593

---

Nd2HoSi3Ni12 PBE relaxed; mass density = 6.8 g cm⁻³; DOS(E_F) = 12.5 states/eV/f.u.; ΔE_f (raw) = 0.64 eV/f.u.; total magnetization = 0.0 μB per cell; energy = -5.506 eV per atom
1.0
7.5959 0.0906 0.0643
3.8300 6.5602 0.0643
3.8300 2.2294 6.1701
Nd Ni Ho Si
2 12 1 3
Direct
0.5973 0.5973 0.5973
0.4027 0.4027 0.4027
0.8383 0.8383 0.4693
0.8890 0.3512 0.3512
0.3512 0.3512 0.8890
0.3512 0.8890 0.3512
0.6488 0.1110 0.6488
0.8383 0.4693 0.8383
0.1617 0.1617 0.5307
0.1110 0.6488 0.6488
0.1617 0.5307 0.1617
0.6488 0.6488 0.1110
0.4693 0.8383 0.8383
0.5307 0.1617 0.1617
0.0000 0.0000 0.0000
0.5000 0.0000 0.0000
0.0000 0.5000 0.0000
0.0000 0.0000 0.5000

---

PmNp2In9 PBE relaxed; mass density = 9.0 g cm⁻³; DOS(E_F) = 23.7 states/eV/f.u.; total magnetization = 8.5 μB per cell; energy = -4.766 eV per atom; calculated formation energy = -0.16 eV/atom
1.0
4.6526 0.0000 0.0000
0.0000 4.6526 0.0000
0.0000 0.0000 14.0135
In Np Pm
9 2 1
Direct
0.0000 0.5000 0.5000
0.5000 0.5000 0.3347
0.0000 0.5000 0.1696
0.5000 0.0000 0.5000
0.5000 0.5000 0.0000
0.0000 0.5000 0.8304
0.5000 0.5000 0.6653
0.5000 0.0000 0.8304
0.5000 0.0000 0.1696
0.0000 0.0000 0.6664
0.0000 0.0000 0.3336
0.0000 0.0000 0.0000

---

Sr2Au PBE relaxed; mass density = 4.8 g cm⁻³; DOS(E_F) = 3.1 states/eV/f.u.; total magnetization = 0.0 μB per cell; energy = -2.735 eV per atom; calculated formation energy = -0.52 eV/atom
1.0
-0.5768 4.4967 0.3297
-1.6428 -2.7450 3.2293
6.1551 0.5272 3.5792
Sr Au
2 1
Direct
0.6667 0.3333 0.2399
0.3333 0.6667 0.7601
0.0000 0.0000 0.0000

---

LaSbW2 PBE relaxed; mass density = 11.1 g cm⁻³; DOS(E_F) = 4.6 states/eV/f.u.; ΔE_f (raw) = 1.33 eV/f.u.; total magnetization = 0.0 μB per cell; energy = -8.406 eV per atom
1.0
4.2163 0.0000 0.0000
0.0000 3.3516 -0.1389
0.0000 0.6930 6.6457
W Sb La
2 1 1
Direct
0.5000 0.3467 0.1227
0.0000 0.8501 0.0774
0.5000 0.8866 0.7866
0.0000 0.4166 0.5132

---

Ca2Cu2Hg PBE relaxed; mass density = 6.0 g cm⁻³; DOS(E_F) = 2.5 states/eV/f.u.; E above lowest polymorph = 0.00 eV per formula unit; total magnetization = 0.0 μB per cell; energy = -2.736 eV per atom; calculated formation energy = -0.24 eV/atom
1.0
7.4920 0.0000 0.0000
0.0000 7.4920 0.0000
0.0000 0.0000 4.0414
Ca Cu Hg
4 4 2
Direct
0.3206 0.1794 0.5000
0.8206 0.3206 0.5000
0.6794 0.8206 0.5000
0.1794 0.6794 0.5000
0.6154 0.1154 0.0000
0.3846 0.8846 0.0000
0.8846 0.6154 0.0000
0.1154 0.3846 0.0000
0.0000 0.0000 0.0000
0.5000 0.5000 0.0000

---

Among the records above, which one has the highest energy?
Sr2Au

---

energy of number 6 (Sr2Au)?
-2.735 eV per atom

---

What is the mass density in the fifth record?
9.0 g cm⁻³